Density functional theory data (PBE) for a geometry-optimized Zn3PbAu3 structure.

Geometry as POSCAR:
```
Zn3PbAu3
1.0
-2.2601 1.9646 -6.4116
-2.3337 -6.5735 -1.1916
-6.2867 1.7339 2.7474
Zn Au Pb
6 6 2
direct
0.2500 0.5000 0.0000 Zn
0.7500 0.5000 0.0000 Zn
0.0000 0.7500 0.5000 Zn
0.5000 0.0000 0.7500 Zn
0.0000 0.2500 0.5000 Zn
0.5000 0.0000 0.2500 Zn
0.0000 0.5000 0.7500 Au
0.2500 0.0000 0.5000 Au
0.7500 0.0000 0.5000 Au
0.0000 0.5000 0.2500 Au
0.5000 0.7500 0.0000 Au
0.5000 0.2500 0.0000 Au
0.5000 0.5000 0.5000 Pb
0.0000 0.0000 0.0000 Pb
```

## Properties
Formation enthalpy at 0 K: 0.177 eV/atom
SG: Pm-3n
M_tot: 0.00 μB per formula unit



Density functional theory data (PBE) for a geometry-optimized LiZn3 structure.

Geometry as POSCAR:
```
LiZn3
1.0
-2.1499 3.9946 -1.4045
-4.0362 2.0573 -1.4241
-1.6017 1.5158 4.3261
Li Zn
1 3
direct
0.0000 0.0000 0.0000 Li
0.2412 0.2412 0.2475 Zn
0.7588 0.7588 0.7525 Zn
0.5000 0.5000 0.5000 Zn
```

## Properties
Formation enthalpy at 0 K: -0.100 eV/atom
SG: C2/m
M_tot: 0.00 μB per formula unit



Density functional theory data (PBE) for a geometry-optimized V2SiRu2 structure.

Geometry as POSCAR:
```
V2SiRu2
1.0
-1.6506 3.3111 -5.9955
-1.4680 -6.1949 -3.0171
-2.7412 0.2223 0.8774
Ru V Si
4 4 2
direct
0.3619 0.8619 0.0000 Ru
0.8619 0.6381 0.0000 Ru
0.6381 0.1381 0.0000 Ru
0.1381 0.3619 0.0000 Ru
0.3394 0.1606 0.5000 V
0.6606 0.8394 0.5000 V
0.1606 0.6606 0.5000 V
0.8394 0.3394 0.5000 V
0.5000 0.5000 0.0000 Si
0.0000 0.0000 0.0000 Si
```

## Properties
Energy relative to the elements, uncorrected: -0.0627 eV per atom
SG: P4/mbm
M_tot: 0.00 μB per formula unit



Density functional theory data (PBE) for a geometry-optimized PrVGe structure.

Geometry as POSCAR:
```
PrVGe
1.0
4.4115 0.0000 0.0000
0.0000 4.2683 0.0000
0.0000 2.1342 7.7240
V Pr Ge
2 2 2
direct
0.5000 0.0000 0.0000 V
0.0000 0.0000 0.0000 V
0.2500 0.3474 0.3051 Pr
0.7500 0.6526 0.6949 Pr
0.7500 0.8495 0.3010 Ge
0.2500 0.1505 0.6990 Ge
```

## Properties
Formation enthalpy at 0 K: -0.121 eV/atom
SG: Cmcm
M_tot: 0.00 μB per formula unit



Density functional theory data (PBE) for a geometry-optimized BeCuRe2I structure.

Geometry as POSCAR:
```
BeCuRe2I
1.0
-3.5996 1.1723 3.0598
-2.8199 -2.0681 -2.5250
0.7808 -4.1076 2.4923
Be Cu I Re
1 1 1 2
direct
0.0000 0.5000 0.0000 Be
0.5000 0.5000 0.5000 Cu
0.0000 0.0000 0.0000 I
0.0000 0.0000 0.5000 Re
0.5000 0.0000 0.0000 Re
```

## Properties
Energy relative to the elements, uncorrected: 2.7068 eV per atom
SG: P4/mmm
M_tot: 0.01 μB per formula unit



Density functional theory data (PBE) for a geometry-optimized TaSiGe structure.

Geometry as POSCAR:
```
TaSiGe
1.0
-1.3134 -3.2408 -3.4400
2.1870 -1.5390 4.1121
-5.9949 -0.6832 2.9326
Ta Si Ge
3 3 3
direct
0.8312 0.1688 0.1667 Ta
0.8312 0.6624 0.8333 Ta
0.3376 0.1688 0.5000 Ta
0.4952 0.5048 0.1667 Si
0.4952 0.9904 0.8333 Si
0.0096 0.5048 0.5000 Si
0.1710 0.3421 0.8333 Ge
0.6579 0.8290 0.5000 Ge
0.1710 0.8290 0.1667 Ge
```

## Properties
Energy relative to the elements, uncorrected: -0.3256 eV per atom
SG: P3_212
M_tot: 0.00 μB per formula unit



Density functional theory data (PBE) for a geometry-optimized SmHo2Ga2 structure.

Geometry as POSCAR:
```
SmHo2Ga2
1.0
4.3445 0.0000 0.0000
0.0000 7.6667 0.0000
0.0000 0.0000 7.6667
Ho Sm Ga
4 2 4
direct
0.5000 0.8261 0.3261 Ho
0.5000 0.6739 0.8261 Ho
0.5000 0.3261 0.1739 Ho
0.5000 0.1739 0.6739 Ho
0.0000 0.5000 0.5000 Sm
0.0000 0.0000 0.0000 Sm
0.0000 0.8811 0.6189 Ga
0.0000 0.6189 0.1189 Ga
0.0000 0.1189 0.3811 Ga
0.0000 0.3811 0.8811 Ga
```

## Properties
Formation enthalpy at 0 K: -0.483 eV/atom
SG: P4/mbm
M_tot: 0.00 μB per formula unit



Density functional theory data (PBE) for a geometry-optimized Ac2InSn2Rh5 structure.

Geometry as POSCAR:
```
Ac2InSn2Rh5
1.0
-1.4341 -0.3497 -3.4411
9.7823 -1.6788 -3.9061
-1.1780 -10.4861 1.5565
Sn Ac Rh In
4 4 10 2
direct
0.0000 0.8766 0.3766 Sn
0.0000 0.3766 0.1234 Sn
0.0000 0.1234 0.6234 Sn
0.0000 0.6234 0.8766 Sn
0.0000 0.8251 0.6749 Ac
0.0000 0.3251 0.8251 Ac
0.0000 0.1749 0.3251 Ac
0.0000 0.6749 0.1749 Ac
0.5000 0.0611 0.7933 Rh
0.5000 0.2067 0.0611 Rh
0.5000 0.7067 0.4389 Rh
0.5000 0.7933 0.9389 Rh
0.5000 0.2933 0.5611 Rh
0.5000 0.5000 0.0000 Rh
0.5000 0.5611 0.7067 Rh
0.5000 0.4389 0.2933 Rh
0.5000 0.0000 0.5000 Rh
0.5000 0.9389 0.2067 Rh
0.0000 0.5000 0.5000 In
0.0000 0.0000 0.0000 In
```

## Properties
Formation enthalpy at 0 K: -0.475 eV/atom
SG: P4/mbm
M_tot: 0.00 μB per formula unit



Density functional theory data (PBE) for a geometry-optimized KRbHSeBrCl structure.

Geometry as POSCAR:
```
KRbHSeBrCl
1.0
5.2247 -0.0170 -0.0444
2.2949 5.5187 -0.0727
0.5994 0.5481 6.8330
H K Br Rb Cl Se
1 1 1 1 1 1
direct
0.2265 0.6094 0.8525 H
0.0897 0.2071 0.6992 K
0.7518 0.8158 0.6936 Br
0.7676 0.8541 0.1997 Rb
0.1046 0.2339 0.2310 Cl
0.4680 0.4934 0.9808 Se
```

## Properties
SG: P1
Raw total energy: -3.09 eV/atom
M_tot: 1.00 μB per formula unit



Density functional theory data (PBE) for a geometry-optimized Tm6Bi2Te structure.

Geometry as POSCAR:
```
Tm6Bi2Te
1.0
-1.2101 -6.1882 -1.4745
4.6852 -2.3767 6.1293
-8.0433 0.5583 6.3647
Tm Bi Te
12 4 2
direct
0.6254 0.2089 0.5530 Tm
0.1388 0.3443 0.4474 Tm
0.6388 0.1557 0.9474 Tm
0.1422 0.0306 0.7806 Tm
0.3746 0.7911 0.4470 Tm
0.8578 0.9694 0.2194 Tm
0.3578 0.5306 0.7194 Tm
0.6422 0.4694 0.2806 Tm
0.1254 0.2911 0.0530 Tm
0.8612 0.6557 0.5526 Tm
0.3612 0.8443 0.0526 Tm
0.8746 0.7089 0.9470 Tm
0.9154 0.3811 0.7651 Bi
0.0846 0.6189 0.2349 Bi
0.4154 0.1189 0.2651 Bi
0.5846 0.8811 0.7349 Bi
0.5000 0.5000 0.0000 Te
0.0000 0.0000 0.5000 Te
```

## Properties
Energy relative to the elements, uncorrected: -0.5514 eV per atom
SG: P2_1/c
M_tot: 0.00 μB per formula unit



Density functional theory data (PBE) for a geometry-optimized Ac6LaPm12 structure.

Geometry as POSCAR:
```
Ac6LaPm12
1.0
-6.8558 3.4651 5.0886
3.7611 -5.5995 6.2771
5.9310 7.0257 0.6034
Pm Ac La
12 6 1
direct
0.5000 0.7521 0.2479 Pm
0.2479 0.5000 0.7521 Pm
0.0751 0.3562 0.3562 Pm
0.2479 0.7521 0.5000 Pm
0.3562 0.0751 0.3562 Pm
0.7521 0.5000 0.2479 Pm
0.6438 0.6438 0.9249 Pm
0.7521 0.2479 0.5000 Pm
0.5000 0.2479 0.7521 Pm
0.9249 0.6438 0.6438 Pm
0.6438 0.9249 0.6438 Pm
0.3562 0.3562 0.0751 Pm
0.6635 0.1056 0.1056 Ac
0.3365 0.8944 0.8944 Ac
0.8944 0.8944 0.3365 Ac
0.8944 0.3365 0.8944 Ac
0.1056 0.1056 0.6635 Ac
0.1056 0.6635 0.1056 Ac
0.0000 0.0000 0.0000 La
```

## Properties
Formation enthalpy at 0 K: 0.235 eV/atom
SG: R-3m
M_tot: 0.00 μB per formula unit



Density functional theory data (PBE) for a geometry-optimized WSe2SN structure.

Geometry as POSCAR:
```
WSe2SN
1.0
5.0154 0.0000 0.0000
0.0000 5.0154 0.0000
0.0000 0.0000 3.8166
W N S Se
1 1 1 2
direct
0.0000 0.0000 0.0000 W
0.0000 0.0000 0.5000 N
0.5000 0.5000 0.5000 S
0.0000 0.5000 0.0000 Se
0.5000 0.0000 0.0000 Se
```

## Properties
Energy relative to the elements, uncorrected: 0.5237 eV per atom
SG: P4/mmm
M_tot: 0.00 μB per formula unit



Density functional theory data (PBE) for a geometry-optimized Cs3AcSb2Te6 structure.

Geometry as POSCAR:
```
Cs3AcSb2Te6
1.0
8.1414 -0.0006 -0.0022
-4.0693 7.0514 -0.0022
-1.3607 -2.3561 8.9408
Te Ac Cs Sb
6 1 3 2
direct
0.0645 0.4166 0.1923 Te
0.9355 0.5834 0.8077 Te
0.7115 0.7115 0.1906 Te
0.5834 0.9355 0.8077 Te
0.4166 0.0645 0.1923 Te
0.2885 0.2885 0.8094 Te
0.0000 0.0000 0.0000 Ac
0.5000 0.5000 0.5000 Cs
0.1625 0.8375 0.5000 Cs
0.8375 0.1625 0.5000 Cs
0.3331 0.6669 0.0000 Sb
0.6669 0.3331 0.0000 Sb
```

## Properties
Energy relative to the elements, uncorrected: -0.8365 eV per atom
SG: C2/m
M_tot: 0.00 μB per formula unit



Density functional theory data (PBE) for a geometry-optimized LiHg6Bi structure.

Geometry as POSCAR:
```
LiHg6Bi
1.0
-1.6327 -4.3337 -3.4582
4.9474 -0.5873 3.4462
-5.1477 -4.5666 3.2303
Hg Li Bi
6 1 1
direct
0.9055 0.3745 0.3175 Hg
0.3251 0.9928 0.2124 Hg
0.6779 0.7733 0.3785 Hg
0.6749 0.0072 0.7876 Hg
0.0945 0.6255 0.6825 Hg
0.3221 0.2267 0.6215 Hg
0.0000 0.0000 0.0000 Li
0.5000 0.5000 0.0000 Bi
```

## Properties
Formation enthalpy at 0 K: -0.055 eV/atom
SG: P-1
M_tot: 0.00 μB per formula unit



Density functional theory data (PBE) for a geometry-optimized Ca2TlPd3 structure.

Geometry as POSCAR:
```
Ca2TlPd3
1.0
4.9624 0.0834 2.4421
1.5549 4.7133 2.4421
0.1133 0.0834 5.5296
Pd Ca Tl
3 2 1
direct
0.5000 0.0000 0.0000 Pd
0.0000 0.5000 0.0000 Pd
0.0000 0.0000 0.5000 Pd
0.3746 0.3746 0.3746 Ca
0.6254 0.6254 0.6254 Ca
0.0000 0.0000 0.0000 Tl
```

## Properties
Formation enthalpy at 0 K: -0.601 eV/atom
SG: R-3m
M_tot: 0.00 μB per formula unit



Density functional theory data (PBE) for a geometry-optimized Ce4C2Br structure.

Geometry as POSCAR:
```
Ce4C2Br
1.0
-5.5924 4.5019 -2.5749
-2.2719 -6.6339 -3.0002
0.5445 1.2328 7.5024
Br Ce C
2 8 4
direct
0.0916 0.0916 0.0000 Br
0.1584 0.6583 0.5000 Br
0.3728 0.5709 0.1989 Ce
0.8780 0.1791 0.3019 Ce
0.4319 0.1184 0.3125 Ce
0.4440 0.6311 0.8129 Ce
0.8182 0.6311 0.1871 Ce
0.8060 0.1194 0.6875 Ce
0.3719 0.1738 0.8011 Ce
0.8773 0.5762 0.6981 Ce
0.6250 0.3755 0.2505 C
0.1250 0.3745 0.7495 C
0.6252 0.8750 0.2502 C
0.6248 0.3750 0.7498 C
```

## Properties
Energy relative to the elements, uncorrected: -0.2979 eV per atom
SG: Imma
M_tot: 2.75 μB per formula unit



Density functional theory data (PBE) for a geometry-optimized SiAgCl4 structure.

Geometry as POSCAR:
```
SiAgCl4
1.0
5.9809 0.0000 0.0000
0.0000 5.9809 0.0000
-2.9905 -2.9905 5.6114
Cl Si Ag
4 1 1
direct
0.1710 0.1682 0.7699 Cl
0.3983 0.8290 0.2301 Cl
0.8318 0.4011 0.2301 Cl
0.5989 0.6017 0.7699 Cl
0.5000 0.5000 0.0000 Si
0.7500 0.2500 0.5000 Ag
```

## Properties
Energy relative to the elements, uncorrected: -0.5916 eV per atom
SG: I-4
M_tot: 0.85 μB per formula unit



Density functional theory data (PBE) for a geometry-optimized CaYTh2Bi4 structure.

Geometry as POSCAR:
```
CaYTh2Bi4
1.0
-1.7716 3.3590 2.5662
-5.3769 1.4905 -5.6630
-2.8669 -5.3441 5.0160
Ca Bi Y Th
1 4 1 2
direct
0.5000 0.5000 0.0000 Ca
0.5000 0.7535 0.7560 Bi
0.5000 0.2465 0.2440 Bi
0.0000 0.2490 0.7528 Bi
0.0000 0.7510 0.2472 Bi
0.0000 0.0000 0.0000 Y
0.5000 0.0000 0.5000 Th
0.0000 0.5000 0.5000 Th
```

## Properties
Formation enthalpy at 0 K: -0.745 eV/atom
SG: P2/m
M_tot: 0.00 μB per formula unit



Density functional theory data (PBE) for a geometry-optimized Pm4FeBi2 structure.

Geometry as POSCAR:
```
Pm4FeBi2
1.0
-1.7666 4.4698 -1.3220
-3.2689 -2.1959 -3.0561
-3.1823 -1.5078 8.5526
Pm Bi Fe
4 2 1
direct
0.5000 0.0000 0.0000 Pm
0.0000 0.5000 0.0000 Pm
0.8318 0.8318 0.6636 Pm
0.1682 0.1682 0.3364 Pm
0.6421 0.6421 0.2842 Bi
0.3579 0.3579 0.7158 Bi
0.0000 0.0000 0.0000 Fe
```

## Properties
Formation enthalpy at 0 K: -0.427 eV/atom
SG: I4/mmm
M_tot: 0.00 μB per formula unit



Density functional theory data (PBE) for a geometry-optimized NaCd3 structure.

Geometry as POSCAR:
```
NaCd3
1.0
5.9733 0.0258 -0.0123
-2.9554 5.1909 0.0123
-2.9490 -1.7753 9.7456
Cd Na
9 3
direct
0.0000 0.5000 0.5000 Cd
0.6677 0.5892 0.2569 Cd
0.3323 0.4108 0.7431 Cd
0.6686 0.3344 0.0031 Cd
0.3337 0.9198 0.7448 Cd
0.3314 0.6656 0.9969 Cd
0.6663 0.0802 0.2552 Cd
0.1750 0.5890 0.2552 Cd
0.8250 0.4110 0.7448 Cd
0.2882 0.1443 0.4325 Na
0.0000 0.0000 0.0000 Na
0.7118 0.8557 0.5675 Na
```

## Properties
Formation enthalpy at 0 K: -0.081 eV/atom
SG: C2/m
M_tot: 0.00 μB per formula unit



Density functional theory data (PBE) for a geometry-optimized LaHoGaRu structure.

Geometry as POSCAR:
```
LaHoGaRu
1.0
-3.0374 -3.6142 1.8031
-2.4681 -3.0487 -3.1864
1.3388 -4.8568 -0.3977
Ho La Ru Ga
1 1 1 1
direct
0.5000 0.5000 0.5000 Ho
0.0000 0.0000 0.0000 La
0.7500 0.7500 0.7500 Ru
0.2500 0.2500 0.2500 Ga
```

## Properties
Formation enthalpy at 0 K: -0.363 eV/atom
SG: F-43m
M_tot: 0.00 μB per formula unit



Density functional theory data (PBE) for a geometry-optimized Nb2GaIr structure.

Geometry as POSCAR:
```
Nb2GaIr
1.0
-2.9048 1.5704 -1.6868
-1.4133 -1.5312 -3.0671
-5.3891 -3.4702 1.9744
Ir Ga Nb
1 1 2
direct
0.0000 0.0000 0.0000 Ir
0.5000 0.5000 0.5000 Ga
0.7435 0.7435 0.7695 Nb
0.2565 0.2565 0.2305 Nb
```

## Properties
Formation enthalpy at 0 K: 0.123 eV/atom
SG: R-3m
M_tot: 0.00 μB per formula unit



Density functional theory data (PBE) for a geometry-optimized Sm5Ho2Tm5 structure.

Geometry as POSCAR:
```
Sm5Ho2Tm5
1.0
-1.5717 -2.2032 4.2209
5.4281 -5.3426 2.2107
5.9972 4.5336 7.5777
Sm Ho Tm
5 2 5
direct
0.3342 0.3324 0.9992 Sm
0.6658 0.6676 0.0008 Sm
0.4158 0.9179 0.2506 Sm
0.5842 0.0821 0.7494 Sm
0.5000 0.5000 0.5000 Sm
0.0833 0.5820 0.2515 Ho
0.9167 0.4180 0.7485 Ho
0.7490 0.2499 0.2521 Tm
0.1679 0.1652 0.4990 Tm
0.8321 0.8348 0.5010 Tm
0.0000 0.0000 0.0000 Tm
0.2510 0.7501 0.7479 Tm
```

## Properties
Formation enthalpy at 0 K: 0.021 eV/atom
SG: C2/m
M_tot: 0.00 μB per formula unit